Computed, not measured: crystalline La2YCdOs at its relaxed geometry at the PBE level of DFT.

Unit cell a=5.558 b=5.558 c=5.485 alpha=90.00 beta=90.00 gamma=90.00
Space group P4/mmm (No. 123)
Unique sites:
La 0.000 0.500 0.000 [2 per cell]
Y 0.000 0.000 0.500 [1 per cell]
Cd 0.500 0.500 0.500 [1 per cell]
Os 0.000 0.000 0.000 [1 per cell]

Values from the calculation:
D(E_F) ... 4.4 states/eV/f.u.
E ... -29.00 eV per formula unit
Total moment ... 0.000 μB/cell
Formation enthalpy at 0 K ... -0.1066 eV/atom